This record from Alexandria via LeMat-Bulk describes a relaxed NpScTe2N crystal. The functional is PBE.

Results
symmetry: P4/nmm, No. 129
crystal system: tetragonal
formation energy without anion corrections: -1.13 eV/atom

Unit cell a=3.992 b=3.992 c=14.343 alpha=90.00 beta=90.00 gamma=90.00
Last column: magnetic moment on the atom in μB.
Atoms (fractional coordinates):
Np1 0.500 0.000 0.576  -2.92
Np2 0.000 0.500 0.424  -2.92
Sc1 0.500 0.000 0.091  0.00
Sc2 0.000 0.500 0.909  0.00
Te1 0.000 0.500 0.699  0.13
Te2 0.000 0.500 0.116  0.01
Te3 0.500 0.000 0.884  0.01
Te4 0.500 0.000 0.301  0.13
N1 0.000 0.000 0.500  0.19
N2 0.500 0.500 0.500  0.19

***

This record from Alexandria via LeMat-Bulk describes a relaxed Ba3Te3Br2O8 crystal. The functional is PBE.

Results
symmetry: Pnma, No. 62
crystal system: orthorhombic
formation energy without anion corrections: -1.86 eV/atom

Unit cell a=6.054 b=12.862 c=18.558 alpha=90.00 beta=90.00 gamma=90.00
Atoms (fractional coordinates):
Ba1 0.750 0.628 0.517
Ba2 0.250 0.872 0.017
Ba3 0.250 0.372 0.483
Ba4 0.750 0.128 0.983
Ba5 0.750 0.460 0.303
Ba6 0.250 0.040 0.803
Ba7 0.250 0.540 0.697
Ba8 0.750 0.960 0.197
Ba9 0.750 0.144 0.416
Ba10 0.250 0.356 0.916
Ba11 0.250 0.856 0.584
Ba12 0.750 0.644 0.084
Br1 0.750 0.906 0.508
Br2 0.250 0.594 0.008
Br3 0.250 0.094 0.492
Br4 0.750 0.406 0.992
Br5 0.750 0.750 0.318
Br6 0.250 0.750 0.818
Br7 0.250 0.250 0.682
Br8 0.750 0.250 0.182
O1 0.250 0.701 0.483
O2 0.750 0.799 0.983
O3 0.750 0.299 0.517
O4 0.250 0.201 0.017
O5 0.483 0.536 0.412
O6 0.517 0.964 0.912
O7 0.983 0.464 0.588
O8 0.017 0.036 0.088
O9 0.517 0.464 0.588
O10 0.483 0.036 0.088
O11 0.017 0.536 0.412
O12 0.983 0.964 0.912
O13 0.481 0.291 0.361
O14 0.519 0.209 0.861
O15 0.981 0.709 0.639
O16 0.019 0.791 0.139
O17 0.519 0.709 0.639
O18 0.481 0.791 0.139
O19 0.019 0.291 0.361
O20 0.981 0.209 0.861
O21 0.250 0.901 0.242
O22 0.750 0.599 0.742
O23 0.750 0.099 0.758
O24 0.250 0.401 0.258
O25 0.488 0.047 0.317
O26 0.512 0.453 0.817
O27 0.988 0.953 0.683
O28 0.012 0.547 0.183
O29 0.512 0.953 0.683
O30 0.488 0.547 0.183
O31 0.012 0.047 0.317
O32 0.988 0.453 0.817
Te1 0.250 0.631 0.394
Te2 0.750 0.869 0.894
Te3 0.750 0.369 0.606
Te4 0.250 0.131 0.106
Te5 0.250 0.256 0.297
Te6 0.750 0.244 0.797
Te7 0.750 0.744 0.703
Te8 0.250 0.756 0.203
Te9 0.250 0.961 0.341
Te10 0.750 0.539 0.841
Te11 0.750 0.039 0.659
Te12 0.250 0.461 0.159

***

This record from Alexandria via LeMat-Bulk describes a relaxed CdOsSe2N crystal. The functional is PBE.

Results
symmetry: P4/mmm, No. 123
crystal system: tetragonal
distance to the lowest polymorph of the same formula: 1750 meV/atom
formation energy without anion corrections: 2.03 eV/atom

Unit cell a=5.225 b=5.225 c=3.979 alpha=90.00 beta=90.00 gamma=90.00
Last column: magnetic moment on the atom in μB.
Atoms (fractional coordinates):
N1 0.000 0.000 0.500  1.02
Os1 0.500 0.500 0.500  2.30
Se1 0.000 0.500 0.000  0.08
Se2 0.500 0.000 0.000  0.08
Cd1 0.000 0.000 0.000  0.03

***

This record from Alexandria via LeMat-Bulk describes a relaxed Te5C crystal. The functional is PBE.

Results
symmetry: P6/mmm, No. 191
crystal system: hexagonal
distance to the lowest polymorph of the same formula: 842 meV/atom
formation energy without anion corrections: 1.48 eV/atom

Unit cell a=6.180 b=6.180 c=5.627 alpha=90.00 beta=90.00 gamma=120.00
Last column: magnetic moment on the atom in μB.
Atoms (fractional coordinates):
Te1 0.333 0.667 0.000  -0.10
Te2 0.667 0.333 0.000  -0.10
Te3 0.500 0.000 0.500  0.02
Te4 0.000 0.500 0.500  0.02
Te5 0.500 0.500 0.500  0.02
C1 0.000 0.000 0.000  0.88

***

This record from Alexandria via LeMat-Bulk describes a relaxed Mo2AsP crystal. The functional is PBE.

Results
symmetry: Imm2, No. 44
crystal system: orthorhombic
distance to the lowest polymorph of the same formula: 0 meV/atom
ΔH_f (0 K): -0.408 eV per atom

Unit cell a=6.205 b=6.205 c=6.205 alpha=149.25 beta=149.30 gamma=44.01
Atoms (fractional coordinates):
P1 0.542 0.542 0.000
Mo1 0.965 0.965 0.000
Mo2 0.702 0.202 0.500
As1 0.291 0.791 0.500

***

This record from Alexandria via LeMat-Bulk describes a relaxed InGa4Te7 crystal. The functional is PBE.

Results
symmetry: Pmn2_1, No. 31
crystal system: orthorhombic
formation energy without anion corrections: -0.27 eV/atom

Unit cell a=6.943 b=7.123 c=17.099 alpha=90.00 beta=90.00 gamma=90.00
Atoms (fractional coordinates):
In1 0.289 0.932 0.500
In2 0.789 0.068 0.000
Ga1 0.617 0.648 0.877
Ga2 0.108 0.842 0.248
Ga3 0.608 0.158 0.252
Ga4 0.117 0.352 0.623
Ga5 0.117 0.352 0.377
Ga6 0.617 0.648 0.123
Ga7 0.108 0.842 0.752
Ga8 0.608 0.158 0.748
Te1 0.991 0.713 0.112
Te2 0.491 0.287 0.388
Te3 0.497 0.295 0.884
Te4 0.997 0.705 0.616
Te5 0.997 0.705 0.384
Te6 0.497 0.295 0.116
Te7 0.497 0.797 0.742
Te8 0.997 0.203 0.758
Te9 0.997 0.203 0.242
Te10 0.497 0.797 0.258
Te11 0.447 0.810 0.000
Te12 0.947 0.190 0.500
Te13 0.991 0.713 0.888
Te14 0.491 0.287 0.612

***

This record from Alexandria via LeMat-Bulk describes a relaxed ReTe2Br crystal. The functional is PBE.

Results
symmetry: C2/m, No. 12
crystal system: monoclinic
distance to the lowest polymorph of the same formula: 1099 meV/atom
formation energy without anion corrections: 1.06 eV/atom

Unit cell a=6.185 b=5.176 c=3.668 alpha=79.92 beta=72.53 gamma=119.41
Atoms (fractional coordinates):
Re1 0.500 0.500 0.000
Te1 0.000 0.000 0.000
Te2 0.500 0.000 0.500
Br1 0.000 0.500 0.500

***

This record from Alexandria via LeMat-Bulk describes a relaxed Ac2SmTe3 crystal. The functional is PBE.

Results
symmetry: Fddd, No. 70
crystal system: orthorhombic
distance to the lowest polymorph of the same formula: 0 meV/atom
formation energy without anion corrections: -1.45 eV/atom

Unit cell a=8.076 b=8.073 c=14.478 alpha=100.94 beta=100.95 gamma=108.60
Atoms (fractional coordinates):
Ac1 0.998 0.498 0.996
Ac2 0.419 0.419 0.838
Ac3 0.831 0.331 0.662
Ac4 0.252 0.252 0.504
Ac5 0.748 0.748 0.496
Ac6 0.669 0.169 0.338
Ac7 0.581 0.581 0.162
Ac8 0.502 0.002 0.004
Sm1 0.917 0.917 0.835
Sm2 0.333 0.833 0.665
Sm3 0.167 0.667 0.335
Sm4 0.083 0.083 0.165
Te1 0.165 0.678 0.828
Te2 0.663 0.150 0.828
Te3 0.085 0.072 0.672
Te4 0.587 0.600 0.672
Te5 0.016 0.516 0.500
Te6 0.484 0.984 0.500
Te7 0.400 0.413 0.328
Te8 0.928 0.915 0.328
Te9 0.850 0.337 0.172
Te10 0.322 0.835 0.172
Te11 0.234 0.234 0.000
Te12 0.766 0.766 0.000

***

This record from Alexandria via LeMat-Bulk describes a relaxed Ac2PaBi crystal. The functional is PBE.

Results
symmetry: R-3m, No. 166
crystal system: trigonal
distance to the lowest polymorph of the same formula: 330 meV/atom
ΔH_f (0 K): 0.337 eV per atom

Unit cell a=3.534 b=3.534 c=13.088 alpha=82.24 beta=82.24 gamma=60.00
Atoms (fractional coordinates):
Ac1 0.089 0.089 0.733
Ac2 0.911 0.911 0.267
Pa1 0.000 0.000 0.000
Bi1 0.500 0.500 0.500

***

This record from Alexandria via LeMat-Bulk describes a relaxed NbCrGa2 crystal. The functional is PBE.

Results
symmetry: R-3m, No. 166
crystal system: trigonal
distance to the lowest polymorph of the same formula: 472 meV/atom
ΔH_f (0 K): 0.373 eV per atom

Unit cell a=2.919 b=2.919 c=9.946 alpha=81.56 beta=81.56 gamma=60.00
Last column: magnetic moment on the atom in μB.
Atoms (fractional coordinates):
Cr1 0.000 0.000 0.000  3.39
Nb1 0.500 0.500 0.500  0.00
Ga1 0.088 0.088 0.735  -0.01
Ga2 0.912 0.912 0.265  -0.01

***

This record from Alexandria via LeMat-Bulk describes a relaxed AgSbRu2 crystal. The functional is PBE.

Results
symmetry: Pmm2, No. 25
crystal system: orthorhombic
formation energy without anion corrections: 0.36 eV/atom

Unit cell a=2.900 b=3.674 c=6.751 alpha=90.00 beta=90.00 gamma=90.00
Atoms (fractional coordinates):
Ag1 0.500 0.500 0.785
Ru1 0.000 0.000 0.041
Ru2 0.500 0.500 0.214
Sb1 0.000 0.000 0.461

***

This record from Alexandria via LeMat-Bulk describes a relaxed SrSb crystal. The functional is PBE.

Results
symmetry: P-3m1, No. 164
crystal system: trigonal
formation energy without anion corrections: 0.05 eV/atom

Unit cell a=3.831 b=3.831 c=12.179 alpha=90.00 beta=90.00 gamma=120.00
Atoms (fractional coordinates):
Sb1 0.000 0.000 0.990
Sb2 0.667 0.333 0.260
Sr1 0.000 0.000 0.470
Sr2 0.667 0.333 0.780

***

no.,theoretical density (g/cm3),E_tot (eV per atom),calculated volume (A^3/atom)
1,8.0,-7.9085,22.9
2,5.0,-5.5021,22.6
3,7.3,-3.4582,21.7
4,5.8,-2.6708,31.0
5,8.0,-8.3379,15.5
6,5.1,-3.3429,35.2
7,9.6,-4.0422,22.5
8,7.8,-5.1740,35.2
9,10.6,-5.0617,35.0
10,6.5,-6.0637,18.1
11,10.0,-6.0231,18.0
12,4.5,-2.8526,38.7